No. 1
Computed, not measured: an optimized crystal structure of MoAsRu3 at the GGA-PBE level of DFT.

Cell lengths 4.465, 4.465, 4.465 Å; angles 90.00, 90.00, 90.00 degrees
Space group Pm-3m (No. 221)
Asymmetric unit:
Mo: 0.000 0.000 0.000 x1
As: 0.500 0.500 0.500 x1
Ru: 0.000 0.500 0.500 x3

Size of the total moment ... 1.6 μB per formula unit
Calculated density ... 8841 kg/m³
Energy of formation from the pure elements ... 1148 meV per atom
Excess energy over the best structure of this formula in the dataset ... 0.00 eV/f.u.


No. 2
Computed, not measured: an optimized crystal structure of MoAs2Ru at the GGA-PBE level of DFT.

Cell lengths 3.184, 5.110, 7.870 Å; angles 90.00, 90.00, 90.00 degrees
Space group Cmmm (No. 65)
Asymmetric unit:
Mo: 0.000 0.000 0.000 x2
As: 0.000 0.500 0.254 x4
Ru: 0.000 0.000 0.500 x2

Size of the total moment ... 0.0 μB per formula unit
Calculated density ... 8997 kg/m³
Energy of formation from the pure elements ... 298 meV per atom
Excess energy over the best structure of this formula in the dataset ... 1.55 eV/f.u.


No. 3
Computed, not measured: an optimized crystal structure of MoAsRu2 at the GGA-PBE level of DFT.

Cell lengths 2.8422, 2.8422, 25.4392 Å; angles 90.00, 90.00, 120.00 degrees
Space group R3m (No. 160, hexagonal axes)
Asymmetric unit:
Mo: 0.0000 0.0000 0.0000 x3
As: 0.0000 0.0000 0.7530 x3
Ru: 0.0000 0.0000 0.2502 x3
Ru: 0.0000 0.0000 0.4957 x3

Size of the total moment ... 0.0 μB per formula unit
Calculated density ... 10441 kg/m³
Energy of formation from the pure elements ... 143 meV per atom


No. 4
Computed, not measured: an optimized crystal structure of MoAsRu at the GGA-PBE level of DFT.

Cell lengths 2.904, 4.038, 7.729 Å; angles 90.00, 90.00, 90.00 degrees
Space group Imm2 (No. 44)
Asymmetric unit:
Mo: 0.000 0.000 0.000 x2
As: 0.000 0.000 0.329 x2
Ru: 0.000 0.000 0.656 x2

Size of the total moment ... 0.0 μB per formula unit
Calculated density ... 9963 kg/m³
Energy of formation from the pure elements ... 68 meV per atom